NaErSn | PBE-GGA | relaxed

energy above the most stable polymorph in this dataset	473	meV per atom
space-group type	F-43m (216)
DFT total energy	-3.2407	eV per atom

Cell lengths 4.896, 4.896, 4.896 Å; angles 60.00, 60.00, 60.00 degrees
Atoms (fractional coordinates):
1 Er 0.250 0.250 0.250
2 Na 0.000 0.000 0.000
3 Sn 0.750 0.750 0.750